LiGdSe2, optimized geometry, DFT PBEsol; V = 92 Å³/cell; space-group type = P4/mmm (123); uncorrected formation energy = -1.634 eV/atom; crystal system = tetragonal; VASP energy = -7.663 eV/atom
1.0
4.060 0.000 0.000
0.000 4.060 0.000
0.000 0.000 5.556
Li Gd Se
1 1 2
Cartesian
0.000 0.000 0.000
2.030 2.030 2.778
0.000 0.000 2.778
2.030 2.030 0.000